1.
Here is a relaxed TmTlPbCl6 crystal from Alexandria via LeMat-Bulk. Energies are from PBE.

E_form (uncorrected) = -1.656 eV/atom
DFT total energy = -73.07 eV/cell
DOS at the Fermi energy = 0.00 states/eV/cell

Cell lengths 7.302, 7.302, 13.488 Å; angles 90.00, 90.00, 120.00 degrees
Element x y z (fractional)
Tm: 0.333 0.667 0.250
Tm: 0.667 0.333 0.750
Tl: 0.000 0.000 0.000
Tl: 0.000 0.000 0.500
Pb: 0.333 0.667 0.750
Pb: 0.667 0.333 0.250
Cl: 0.031 0.382 0.138
Cl: 0.031 0.648 0.362
Cl: 0.352 0.382 0.362
Cl: 0.352 0.969 0.138
Cl: 0.382 0.031 0.638
Cl: 0.382 0.352 0.862
Cl: 0.618 0.648 0.138
Cl: 0.618 0.969 0.362
Cl: 0.648 0.031 0.862
Cl: 0.648 0.618 0.638
Cl: 0.969 0.352 0.638
Cl: 0.969 0.618 0.862

***

2.
Here is a relaxed UTl2PbCl8 crystal from Alexandria via LeMat-Bulk. Energies are from PBE.

E_form (uncorrected) = -1.349 eV/atom
DFT total energy = -50.69 eV/cell
DOS at the Fermi energy = 4.35 states/eV/cell

Cell lengths 6.979, 7.213, 8.781 Å; angles 90.10, 90.03, 92.34 degrees
Element x y z (fractional)
U: 0.000 0.000 0.000
Tl: 0.500 0.500 0.256
Tl: 0.500 0.500 0.744
Pb: 0.000 0.000 0.500
Cl: 0.201 0.308 0.000
Cl: 0.213 0.868 0.226
Cl: 0.216 0.873 0.775
Cl: 0.252 0.319 0.500
Cl: 0.748 0.681 0.500
Cl: 0.784 0.127 0.225
Cl: 0.787 0.132 0.774
Cl: 0.799 0.692 0.000

***

3.
Here is a relaxed TlVPbCl6 crystal from Alexandria via LeMat-Bulk. Energies are from PBE.

E_form (uncorrected) = -1.156 eV/atom
DFT total energy = -36.68 eV/cell
DOS at the Fermi energy = 8.59 states/eV/cell

Cell lengths 7.041, 7.041, 6.681 Å; angles 90.00, 90.00, 120.00 degrees
Element x y z (fractional)
Tl: 0.000 0.000 0.000
V: 0.333 0.667 0.500
Pb: 0.667 0.333 0.500
Cl: 0.052 0.394 0.289
Cl: 0.052 0.657 0.711
Cl: 0.343 0.394 0.711
Cl: 0.343 0.948 0.289
Cl: 0.606 0.657 0.289
Cl: 0.606 0.948 0.711

***

4.
Here is a relaxed TmPb2Cl8 crystal from Alexandria via LeMat-Bulk. Energies are from PBE.

E_form (uncorrected) = -1.362 eV/atom
DFT total energy = -41.64 eV/cell
DOS at the Fermi energy = 8.28 states/eV/cell

Cell lengths 7.678, 7.678, 6.941 Å; angles 106.00, 106.00, 71.62 degrees
Element x y z (fractional)
Tm: 0.000 0.000 0.000
Pb: 0.342 0.342 0.785
Pb: 0.658 0.658 0.215
Cl: 0.037 0.664 0.762
Cl: 0.110 0.110 0.741
Cl: 0.336 0.963 0.238
Cl: 0.425 0.425 0.192
Cl: 0.575 0.575 0.808
Cl: 0.664 0.037 0.762
Cl: 0.890 0.890 0.259
Cl: 0.963 0.336 0.238

***

5.
Here is a relaxed U2PbCl11 crystal from Alexandria via LeMat-Bulk. Energies are from PBE.

E_form (uncorrected) = -1.494 eV/atom
DFT total energy = -135.03 eV/cell
DOS at the Fermi energy = 15.49 states/eV/cell

Cell lengths 10.752, 10.752, 10.752 Å; angles 113.24, 112.95, 102.44 degrees
Element x y z (fractional)
U: 0.163 0.166 0.329
U: 0.337 0.666 0.002
U: 0.663 0.334 0.998
U: 0.837 0.834 0.671
Pb: 0.250 0.750 0.500
Pb: 0.750 0.250 0.500
Cl: 0.000 0.000 0.000
Cl: 0.075 0.851 0.658
Cl: 0.087 0.427 0.785
Cl: 0.143 0.927 0.340
Cl: 0.191 0.812 0.003
Cl: 0.193 0.417 0.342
Cl: 0.307 0.649 0.224
Cl: 0.309 0.312 0.621
Cl: 0.357 0.698 0.785
Cl: 0.413 0.198 0.340
Cl: 0.425 0.083 0.776
Cl: 0.500 0.500 0.000
Cl: 0.575 0.917 0.224
Cl: 0.587 0.802 0.660
Cl: 0.643 0.302 0.215
Cl: 0.691 0.688 0.379
Cl: 0.693 0.351 0.776
Cl: 0.807 0.583 0.658
Cl: 0.809 0.188 0.997
Cl: 0.857 0.073 0.660
Cl: 0.913 0.573 0.215
Cl: 0.925 0.149 0.342

***

6.
Here is a relaxed VPb3Cl8 crystal from Alexandria via LeMat-Bulk. Energies are from PBE.

E_form (uncorrected) = -1.121 eV/atom
DFT total energy = -48.47 eV/cell

Cell lengths 7.323, 7.323, 8.154 Å; angles 90.00, 90.00, 112.64 degrees
Element x y z (fractional)
V: 0.000 0.000 0.000
Pb: 0.000 0.000 0.500
Pb: 0.000 0.500 0.241
Pb: 0.500 0.000 0.759
Cl: 0.205 0.795 0.000
Cl: 0.211 0.231 0.217
Cl: 0.231 0.211 0.783
Cl: 0.239 0.761 0.500
Cl: 0.761 0.239 0.500
Cl: 0.769 0.789 0.783
Cl: 0.789 0.769 0.217
Cl: 0.795 0.205 0.000

***

7.
Here is a relaxed VPbCl5 crystal from Alexandria via LeMat-Bulk. Energies are from PBE.

E_form (uncorrected) = -1.093 eV/atom
DFT total energy = -29.71 eV/cell
DOS at the Fermi energy = 6.41 states/eV/cell

Cell lengths 7.077, 7.077, 7.077 Å; angles 140.69, 107.61, 85.63 degrees
Element x y z (fractional)
V: 0.000 0.000 0.000
Pb: 0.500 0.500 0.000
Cl: 0.000 0.500 0.500
Cl: 0.227 0.227 0.000
Cl: 0.289 0.000 0.289
Cl: 0.711 0.000 0.711
Cl: 0.773 0.773 0.000

***

8.
Here is a relaxed V3PbCl crystal from Alexandria via LeMat-Bulk. Energies are from PBE.

excess energy over the best structure of this formula in the dataset = 959.9 meV/atom
E_form (uncorrected) = 1.458 eV/atom
DFT total energy = -25.62 eV/cell
DOS at the Fermi energy = 15.80 states/eV/cell

Cell lengths 5.292, 5.292, 5.292 Å; angles 90.00, 90.00, 90.00 degrees
Element x y z (fractional)
V: 0.000 0.000 0.500
V: 0.000 0.500 0.000
V: 0.500 0.000 0.000
Pb: 0.000 0.000 0.000
Cl: 0.500 0.500 0.500

***

9.
Here is a relaxed VPb3Cl crystal from Alexandria via LeMat-Bulk. Energies are from PBE.

excess energy over the best structure of this formula in the dataset = 0.0 meV/atom
E_form (uncorrected) = 0.073 eV/atom
DFT total energy = -21.73 eV/cell
DOS at the Fermi energy = 3.46 states/eV/cell

Cell lengths 5.291, 5.291, 5.291 Å; angles 90.00, 90.00, 90.00 degrees
Element x y z (fractional)
V: 0.000 0.000 0.000
Pb: 0.000 0.000 0.500
Pb: 0.000 0.500 0.000
Pb: 0.500 0.000 0.000
Cl: 0.500 0.500 0.500

***

10.
Here is a relaxed V3PbCl crystal from Alexandria via LeMat-Bulk. Energies are from PBE.

excess energy over the best structure of this formula in the dataset = 0.0 meV/atom
E_form (uncorrected) = 0.498 eV/atom
DFT total energy = -30.42 eV/cell
DOS at the Fermi energy = 5.06 states/eV/cell

Cell lengths 4.343, 4.343, 4.343 Å; angles 90.00, 90.00, 90.00 degrees
Element x y z (fractional)
V: 0.000 0.000 0.500
V: 0.000 0.500 0.000
V: 0.500 0.000 0.000
Pb: 0.500 0.500 0.500
Cl: 0.000 0.000 0.000

***

11.
Here is a relaxed VPb3Cl crystal from Alexandria via LeMat-Bulk. Energies are from PBE.

excess energy over the best structure of this formula in the dataset = 675.2 meV/atom
E_form (uncorrected) = 0.748 eV/atom
DFT total energy = -18.35 eV/cell
DOS at the Fermi energy = 10.14 states/eV/cell

Cell lengths 5.481, 5.481, 5.481 Å; angles 90.00, 90.00, 90.00 degrees
Element x y z (fractional)
V: 0.000 0.000 0.000
Pb: 0.000 0.500 0.500
Pb: 0.500 0.000 0.500
Pb: 0.500 0.500 0.000
Cl: 0.500 0.500 0.500

***

12.
Here is a relaxed Y2VPbCl crystal from Alexandria via LeMat-Bulk. Energies are from PBE.

E_form (uncorrected) = -0.131 eV/atom
DFT total energy = -28.26 eV/cell
DOS at the Fermi energy = 5.03 states/eV/cell

Cell lengths 5.468, 5.468, 4.760 Å; angles 90.00, 90.00, 90.00 degrees
Element x y z (fractional)
Y: 0.000 0.500 0.000
Y: 0.500 0.000 0.000
V: 0.000 0.000 0.500
Pb: 0.500 0.500 0.500
Cl: 0.000 0.000 0.000

***

Number 8 is which compound?
V3PbCl